Here is an optimized crystal structure of Li2Ni5Ir from Alexandria. Energies are from GGA-PBE.

The structure in POSCAR format:
```
Li2Ni5Ir
1.0
4.7362 -0.2623 -1.4592
-2.6438 3.9379 -1.4604
0.1462 0.2586 4.9539
Ni Li Ir
5 2 1
direct
0.2781 0.7777 0.0000 Ni
0.2780 0.2778 0.0000 Ni
0.7781 0.2779 0.0000 Ni
0.7777 0.7780 0.4999 Ni
0.2778 0.2781 0.5001 Ni
0.7775 0.2778 0.5000 Li
0.2775 0.7778 0.5000 Li
0.7782 0.7778 0.0000 Ir
```

Results
**Density**: 9.0 g cm⁻³
**Symmetry**: No. 139
**Total DFT energy (no corrections)**: -5.23 eV per atom
**Magnetic moment**: 0.135 μB per atom